1.
Compound: Sm3Rh2
Source: Alexandria
Functional: PBE
Structure: optimized geometry

POSCAR file:
```
Sm3Rh2
1.0
-0.9263 -2.6170 2.9591
5.9408 -7.9344 -5.1575
9.1059 3.1528 5.6387
Sm Rh
12 8
Direct
0.2500 0.6290 0.5500
0.2500 0.8710 0.0500
0.7500 0.3710 0.4500
0.7500 0.1290 0.9500
0.7500 0.0638 0.6151
0.7500 0.4362 0.1151
0.2500 0.9362 0.3849
0.2500 0.5638 0.8849
0.2500 0.3111 0.7208
0.2500 0.1889 0.2208
0.7500 0.6889 0.2792
0.7500 0.8111 0.7792
0.2500 0.1878 0.4881
0.2500 0.3122 0.9881
0.7500 0.8122 0.5119
0.7500 0.6878 0.0119
0.7500 0.4984 0.6878
0.7500 0.0016 0.1878
0.2500 0.5016 0.3122
0.2500 0.9984 0.8122
```

Summary:
The formation enthalpy at 0 K comes out at -631 meV/atom. The size of the total moment is 0.00 μB per formula unit. The total energy comes out at -128.1 eV/cell. As for the space group: No. 62.


2.
Compound: Mg2AlAg8
Source: Alexandria
Functional: PBE
Structure: optimized geometry

POSCAR file:
```
Mg2AlAg8
1.0
-2.3109 -3.9672 0.0447
4.5838 -2.7120 -3.7197
2.2219 1.4456 7.3569
Mg Al Ag
2 1 8
Direct
0.1938 0.6938 0.3876
0.8062 0.3062 0.6124
0.5000 0.0000 0.0000
0.6369 0.8569 0.2739
0.3631 0.5830 0.7262
0.1732 0.1732 0.3464
0.0000 0.2695 0.0000
0.8268 0.8268 0.6536
0.6369 0.4170 0.2738
0.3631 0.1431 0.7261
0.0000 0.7305 0.0000
```

Summary:
The formation enthalpy at 0 K comes out at -80 meV/atom. The size of the total moment is 0.00 μB per formula unit. The total energy comes out at -30.6 eV/cell. As for the space group: No. 71.


3.
Compound: ZrCdRh3
Source: Alexandria
Functional: PBE
Structure: optimized geometry

POSCAR file:
```
ZrCdRh3
1.0
4.7595 0.0000 0.0000
0.0000 4.7595 0.0000
0.0000 0.0000 4.7595
Rh Zr Cd
3 1 1
Direct
0.0000 0.5000 0.0000
0.0000 0.0000 0.5000
0.5000 0.0000 0.0000
0.5000 0.5000 0.5000
0.0000 0.0000 0.0000
```

Summary:
The formation enthalpy at 0 K comes out at 1069 meV/atom. The size of the total moment is 0.41 μB per formula unit. The total energy comes out at -26.2 eV/cell. As for the space group: No. 221.


4.
Compound: K2CuH14C4N6O8
Source: Alexandria
Functional: PBE
Structure: optimized geometry

POSCAR file:
```
K2CuH14C4N6O8
1.0
-2.7159 -0.3317 -2.9351
8.6532 -7.0118 -7.2146
-3.8894 -11.5832 6.5927
K Cu H C N O
4 2 28 8 12 16
Direct
0.9496 0.0894 0.6416
0.4496 0.4106 0.1416
0.0504 0.9106 0.3584
0.5504 0.5894 0.8584
0.5000 0.5000 0.5000
0.0000 0.0000 0.0000
0.1348 0.5119 0.3349
0.6348 0.9881 0.8349
0.8652 0.4881 0.6651
0.3652 0.0119 0.1651
0.1184 0.2180 0.3833
0.6184 0.2820 0.8833
0.8816 0.7820 0.6167
0.3816 0.7180 0.1167
0.7087 0.3374 0.5964
0.2087 0.1626 0.0964
0.2913 0.6626 0.4036
0.7913 0.8374 0.9036
0.5274 0.1042 0.4285
0.0274 0.3958 0.9285
0.4726 0.8958 0.5715
0.9726 0.6042 0.0715
0.5898 0.1008 0.3168
0.0898 0.3992 0.8168
0.4102 0.8992 0.6832
0.9102 0.6008 0.1832
0.7688 0.2391 0.2396
0.2688 0.2609 0.7396
0.2312 0.7609 0.7604
0.7312 0.7391 0.2604
0.7686 0.1541 0.1598
0.2686 0.3459 0.6598
0.2314 0.8459 0.8402
0.7314 0.6541 0.3402
0.1164 0.3683 0.3542
0.6164 0.1317 0.8542
0.8836 0.6317 0.6458
0.3836 0.8683 0.1458
0.4119 0.2750 0.4968
0.9119 0.2250 0.9968
0.5881 0.7250 0.5032
0.0881 0.7750 0.0032
0.2203 0.4586 0.3839
0.7203 0.0414 0.8839
0.7797 0.5414 0.6161
0.2797 0.9586 0.1161
0.2003 0.2847 0.4124
0.7003 0.2153 0.9124
0.7997 0.7153 0.5876
0.2997 0.7847 0.0876
0.5242 0.3574 0.5440
0.0242 0.1426 0.0440
0.4758 0.6426 0.4560
0.9758 0.8574 0.9560
0.9442 0.3497 0.2738
0.4442 0.1503 0.7738
0.0558 0.6503 0.7262
0.5558 0.8497 0.2262
0.4782 0.1843 0.5240
0.9782 0.3157 0.0240
0.5218 0.8157 0.4760
0.0218 0.6843 0.9760
0.5586 0.0574 0.3736
0.0586 0.4426 0.8736
0.4414 0.9426 0.6264
0.9414 0.5574 0.1264
0.6442 0.1773 0.2140
0.1442 0.3227 0.7140
0.3558 0.8227 0.7860
0.8558 0.6773 0.2860
```

Summary:
The size of the total moment is 1.00 μB per formula unit. The total energy comes out at -414.8 eV/cell. As for the space group: No. 14.